A plane-wave DFT calculation with PBE was carried out for a geometry-optimized RbYSn2 structure.

excess energy over the best structure of this formula in the dataset = 0.0 meV per atom
energy relative to the elements = -41.5 kJ/mol of atoms

Cell lengths 4.1061, 4.1061, 8.1767 Å; angles 90.00, 90.00, 90.00 degrees
Positions (direct):
Rb 0.0000 0.0000 0.0000
Y 0.0000 0.0000 0.5000
Sn 0.5000 0.5000 0.3211
Sn 0.5000 0.5000 0.6789

---

A plane-wave DFT calculation with PBE was carried out for a geometry-optimized Ce11Hg9Pt4 structure.

energy relative to the elements = -58.1 kJ/mol of atoms

Cell lengths 13.2876, 13.2876, 3.7208 Å; angles 90.00, 90.00, 111.51 degrees
Positions (direct):
Ce 0.0000 0.0000 0.0000
Ce 0.0664 0.4207 0.0000
Ce 0.1565 0.8435 0.0000
Ce 0.3077 0.3077 0.0000
Ce 0.3712 0.6288 0.0000
Ce 0.4207 0.0664 0.0000
Ce 0.5793 0.9336 0.0000
Ce 0.6288 0.3712 0.0000
Ce 0.6923 0.6923 0.0000
Ce 0.8435 0.1565 0.0000
Ce 0.9336 0.5793 0.0000
Hg 0.0731 0.2182 0.5000
Hg 0.1587 0.6385 0.5000
Hg 0.2182 0.0731 0.5000
Hg 0.3615 0.8413 0.5000
Hg 0.5000 0.5000 0.5000
Hg 0.6385 0.1587 0.5000
Hg 0.7818 0.9269 0.5000
Hg 0.8413 0.3615 0.5000
Hg 0.9269 0.7818 0.5000
Pt 0.2477 0.4507 0.5000
Pt 0.4507 0.2477 0.5000
Pt 0.5493 0.7523 0.5000
Pt 0.7523 0.5493 0.5000

---

A plane-wave DFT calculation with PBE was carried out for a geometry-optimized CePrSmTl structure.

energy relative to the elements = -0.3 kJ/mol of atoms

Cell lengths 5.5353, 5.5353, 5.5353 Å; angles 60.00, 60.00, 60.00 degrees
Positions (direct):
Ce 0.0000 0.0000 0.0000
Pr 0.7500 0.7500 0.7500
Sm 0.2500 0.2500 0.2500
Tl 0.5000 0.5000 0.5000

---

A plane-wave DFT calculation with PBE was carried out for a geometry-optimized Ac3La2Ho6 structure.

energy relative to the elements = 21.9 kJ/mol of atoms

Cell lengths 6.3634, 6.3634, 11.7837 Å; angles 94.32, 94.32, 119.09 degrees
Positions (direct):
Ac 0.0000 0.0000 0.0000
Ac 0.3351 0.6649 0.0000
Ac 0.6649 0.3351 0.0000
La 0.1792 0.8208 0.5000
La 0.8208 0.1792 0.5000
Ho 0.0744 0.4069 0.2532
Ho 0.2620 0.2620 0.7406
Ho 0.4069 0.0744 0.2532
Ho 0.5931 0.9256 0.7468
Ho 0.7380 0.7380 0.2594
Ho 0.9256 0.5931 0.7468

---

What is the energy relative to the elements in the third record?
-0.3 kJ/mol of atoms

---

What is the energy relative to the elements in the third record?
-0.3 kJ/mol of atoms

---

Which value of energy relative to the elements does entry 3 give?
-0.3 kJ/mol of atoms

---

What is the energy relative to the elements in the first record?
-41.5 kJ/mol of atoms